LuPbAu: relaxed, PBE.

Lattice parameters (Å, degrees): 7.5044 7.5044 4.4061 90.00 90.00 120.00
With the nearest neighbours (Å) after each atom.
Space group P-62m (No. 189)
Asymmetric unit:
Lu (0.0000, 0.5705, 0.0000) x3  5 Pb 3.13-3.22, 2 Au 3.21
Pb (0.0000, 0.0000, 0.0000) x1  6 Au 2.94, 3 Lu 3.22
Pb (0.3333, 0.6667, 0.5000) x2  3 Au 2.82, 6 Lu 3.13
Au (0.0000, 0.2589, 0.5000) x3  4 Pb 2.82-2.94

Output
As for the total energy: -4.23 eV/atom.